1.
The following is a DFT calculation (PBE-GGA) of a relaxed structure of HoB2Rh7.

Properties
Crystal system = orthorhombic
DFT total energy = -7.04 eV/atom
Formation energy from the elements = -0.10 eV per atom
Space-group type = Cmmm, No. 65

a b c (Å): 6.3373 6.3373 4.1297
angles (deg): 90.00 90.00 113.26
Positions (direct):
Ho  0.0000  0.0000  0.0000
B  0.2966  0.7034  0.5000
B  0.7034  0.2966  0.5000
Rh  0.0556  0.3256  0.5000
Rh  0.2969  0.7031  0.0000
Rh  0.3256  0.0556  0.5000
Rh  0.5000  0.5000  0.5000
Rh  0.6744  0.9444  0.5000
Rh  0.7031  0.2969  0.0000
Rh  0.9444  0.6744  0.5000

=====

2.
The following is a DFT calculation (PBE-GGA) of a relaxed structure of Ho2B2Rh5.

Properties
Crystal system = tetragonal
DFT total energy = -7.29 eV/atom
Formation energy from the elements = -0.71 eV per atom
Space-group type = P4/mmm, No. 123

a b c (Å): 4.1600 4.1600 8.0749
angles (deg): 90.00 90.00 90.00
Positions (direct):
Ho  0.0000  0.0000  0.0000
Ho  0.0000  0.0000  0.5000
B  0.5000  0.5000  0.2204
B  0.5000  0.5000  0.7796
Rh  0.0000  0.5000  0.2467
Rh  0.0000  0.5000  0.7533
Rh  0.5000  0.0000  0.2467
Rh  0.5000  0.0000  0.7533
Rh  0.5000  0.5000  0.5000

=====

3.
The following is a DFT calculation (PBE-GGA) of a relaxed structure of HoB4Rh7.

Properties
Crystal system = orthorhombic
DFT total energy = -7.25 eV/atom
Formation energy from the elements = -0.35 eV per atom
Space-group type = Pmmm, No. 47

a b c (Å): 2.8976 5.5520 9.6005
angles (deg): 90.00 90.00 90.00
Positions (direct):
Ho  0.0000  0.0000  0.0000
B  0.0000  0.0000  0.3316
B  0.0000  0.0000  0.6684
B  0.0000  0.5000  0.1654
B  0.0000  0.5000  0.8346
Rh  0.0000  0.5000  0.5000
Rh  0.5000  0.0000  0.5000
Rh  0.5000  0.2541  0.2546
Rh  0.5000  0.2541  0.7454
Rh  0.5000  0.5000  0.0000
Rh  0.5000  0.7459  0.2546
Rh  0.5000  0.7459  0.7454

=====

4.
The following is a DFT calculation (PBE-GGA) of a relaxed structure of HoB3Rh6.

Properties
Crystal system = trigonal
DFT total energy = -7.31 eV/atom
Formation energy from the elements = -0.44 eV per atom
Space-group type = R3, No. 146

a b c (Å): 6.0684 6.0684 6.0684
angles (deg): 53.29 53.29 53.29
Positions (direct):
Ho  0.0000  0.0000  0.0000
B  0.1722  0.1722  0.1722
B  0.3719  0.3719  0.3719
B  0.7057  0.7057  0.7057
Rh  0.1265  0.5383  0.7103
Rh  0.4345  0.9424  0.4503
Rh  0.4503  0.4345  0.9424
Rh  0.5383  0.7103  0.1265
Rh  0.7103  0.1265  0.5383
Rh  0.9424  0.4503  0.4345

=====

- Number 3 is which compound?
  HoB4Rh7